1.
Material: La3TlH2
Method: DFT, PBE-GGA
State: optimized geometry

abc: 6.644 6.644 6.644
angles: 137.63 134.98 63.53
Fractional coordinates of all 6 atoms:
1 La 0.000 0.000 0.000
2 La 0.274 0.774 0.500
3 La 0.726 0.226 0.500
4 Tl 0.500 0.500 0.000
5 H 0.212 0.212 0.000
6 H 0.788 0.788 0.000

SG: Immm

---

2.
Material: Ba3Cu2SbO9
Method: DFT, PBE-GGA
State: optimized geometry

abc: 5.770 5.770 7.054
angles: 90.00 90.00 120.00
Fractional coordinates of all 15 atoms:
1 Ba 0.000 0.000 0.000
2 Ba 0.333 0.667 0.675
3 Ba 0.667 0.333 0.325
4 Cu 0.333 0.667 0.159
5 Cu 0.667 0.333 0.841
6 Sb 0.000 0.000 0.500
7 O 0.000 0.500 0.000
8 O 0.165 0.331 0.335
9 O 0.165 0.835 0.335
10 O 0.331 0.165 0.665
11 O 0.500 0.000 0.000
12 O 0.500 0.500 0.000
13 O 0.669 0.835 0.335
14 O 0.835 0.165 0.665
15 O 0.835 0.669 0.665

Formation energy (no corrections): -1.5828 eV per atom
SG: P-3m1

---

3.
Material: ThIrC
Method: DFT, PBE-GGA
State: optimized geometry

abc: 3.423 3.423 11.452
angles: 91.44 91.44 59.27
Fractional coordinates of all 6 atoms:
1 Th 0.149 0.149 0.144
2 Th 0.851 0.851 0.856
3 Ir 0.491 0.491 0.378
4 Ir 0.509 0.509 0.622
5 C 0.160 0.160 0.367
6 C 0.840 0.840 0.633

Formation energy from the elements: 106 kJ/mol of formula units
SG: C2/m

---

| no. | M_tot (Bohr magnetons per cell) | E_tot (eV/atom) | density of states at the Fermi level (states/eV/cell) |
| --- | --- | --- | --- |
| 1 | 0.000 | -4.4112 | 4.54 |
| 2 | 0.935 | -5.7632 | 15.22 |
| 3 | 0.000 | -8.1365 | 5.13 |